a.
The following is a PBE calculation of crystalline Sc2BePb at its relaxed geometry, from Alexandria via LeMat-Bulk.

Cell: 4.077 3.972 5.630 Å, 90.00 111.20 90.00°
Space group Pm (No. 6)
Unique sites:
Sc 0.000 0.000 0.000 [1 per cell]
Sc 0.293 0.500 0.586 [1 per cell]
Be 0.736 0.000 0.470 [1 per cell]
Pb 0.580 0.500 0.160 [1 per cell]

calculated volume	21.2	A^3/atom
ρ	6.0	g/cm3
total magnetic moment	0.00	μB per formula unit

=====

b.
The following is a PBE calculation of crystalline Sc2BePb at its relaxed geometry, from Alexandria via LeMat-Bulk.

Cell: 3.239 3.239 7.806 Å, 90.00 90.00 90.00°
Space group P4/mmm (No. 123)
Unique sites:
Sc 0.000 0.000 0.200 [2 per cell]
Be 0.500 0.500 0.000 [1 per cell]
Pb 0.500 0.500 0.500 [1 per cell]

calculated volume	20.5	A^3/atom
ρ	6.2	g/cm3
total magnetic moment	0.00	μB per formula unit

=====

The structure with the least stability is a.

=====

a.
The following is a PBE calculation of crystalline Sc2BePb at its relaxed geometry, from Alexandria via LeMat-Bulk.

Cell: 7.545 7.545 6.099 Å, 90.00 90.00 90.00°
Space group I-42d (No. 122)
Unique sites:
Sc 0.208 0.750 0.125 [8 per cell]
Be 0.000 0.000 0.000 [4 per cell]
Pb 0.000 0.000 0.500 [4 per cell]

calculated volume	21.7	A^3/atom
ρ	5.9	g/cm3
total magnetic moment	0.00	μB per formula unit

=====

b.
The following is a PBE calculation of crystalline Sc2BePb at its relaxed geometry, from Alexandria via LeMat-Bulk.

Cell: 4.656 4.672 7.860 Å, 90.00 90.00 90.00°
Space group Cmm2 (No. 35)
Unique sites:
Sc 0.000 0.000 0.000 [2 per cell]
Sc 0.000 0.500 0.283 [2 per cell]
Be 0.000 0.000 0.482 [2 per cell]
Pb 0.000 0.500 0.698 [2 per cell]

calculated volume	21.4	A^3/atom
ρ	5.9	g/cm3
total magnetic moment	0.00	μB per formula unit

=====

c.
The following is a PBE calculation of crystalline Sc2BePb at its relaxed geometry, from Alexandria via LeMat-Bulk.

Cell: 6.956 6.956 6.956 Å, 90.00 90.00 90.00°
Space group F-43m (No. 216)
Unique sites:
Sc 0.000 0.000 0.000 [4 per cell]
Sc 0.250 0.250 0.250 [4 per cell]
Be 0.000 0.000 0.500 [4 per cell]
Pb 0.250 0.250 0.750 [4 per cell]

calculated volume	21.0	A^3/atom
ρ	6.0	g/cm3
total magnetic moment	0.38	μB per formula unit

=====

d.
The following is a PBE calculation of crystalline Sc2BePb at its relaxed geometry, from Alexandria via LeMat-Bulk.

Cell: 6.873 6.873 6.873 Å, 90.00 90.00 90.00°
Space group Fm-3m (No. 225)
Unique sites:
Sc 0.250 0.250 0.250 [8 per cell]
Be 0.000 0.000 0.000 [4 per cell]
Pb 0.000 0.000 0.500 [4 per cell]

calculated volume	20.3	A^3/atom
ρ	6.3	g/cm3
total magnetic moment	0.00	μB per formula unit

=====

The structure with the least stability is c.

=====

a.
The following is a PBE calculation of crystalline Sc2BePb at its relaxed geometry, from Alexandria via LeMat-Bulk.

Cell: 3.4514 3.4514 25.3725 Å, 90.00 90.00 120.00°
Space group R-3m (No. 166, hexagonal axes)
Unique sites:
Sc 0.0000 0.0000 0.2328 [6 per cell]
Be 0.0000 0.0000 0.5000 [3 per cell]
Pb 0.0000 0.0000 0.0000 [3 per cell]

calculated volume	21.8	A^3/atom
ρ	5.8	g/cm3
total magnetic moment	0.00	μB per formula unit

=====

b.
The following is a PBE calculation of crystalline Sc2BePb at its relaxed geometry, from Alexandria via LeMat-Bulk.

Cell: 3.507 4.654 10.059 Å, 90.00 90.00 90.00°
Space group Imm2 (No. 44)
Unique sites:
Sc 0.000 0.000 0.000 [2 per cell]
Sc 0.000 0.500 0.228 [2 per cell]
Be 0.000 0.000 0.489 [2 per cell]
Pb 0.000 0.500 0.785 [2 per cell]

calculated volume	20.5	A^3/atom
ρ	6.2	g/cm3
total magnetic moment	0.00	μB per formula unit

=====

The structure with the least stability is a.

=====

a.
The following is a PBE calculation of crystalline ScBePb at its relaxed geometry, from Alexandria via LeMat-Bulk.

Cell: 4.1694 4.1694 3.9392 Å, 90.00 90.00 120.00°
Space group P3m1 (No. 156)
Unique sites:
Sc 0.0000 0.0000 0.0000 [1 per cell]
Be 0.3333 0.6667 0.4583 [1 per cell]
Pb 0.6667 0.3333 0.5082 [1 per cell]

calculated volume	19.8	A^3/atom
ρ	7.3	g/cm3
total magnetic moment	0.00	μB per formula unit

=====

b.
The following is a PBE calculation of crystalline ScBePb at its relaxed geometry, from Alexandria via LeMat-Bulk.

Cell: 6.572 6.572 6.572 Å, 90.00 90.00 90.00°
Space group F-43m (No. 216)
Unique sites:
Sc 0.000 0.000 0.000 [4 per cell]
Be 0.250 0.250 0.250 [4 per cell]
Pb 0.250 0.250 0.750 [4 per cell]

calculated volume	23.7	A^3/atom
ρ	6.1	g/cm3
total magnetic moment	0.00	μB per formula unit

=====

c.
The following is a PBE calculation of crystalline ScBePb at its relaxed geometry, from Alexandria via LeMat-Bulk.

Cell: 3.286 3.286 11.311 Å, 90.00 90.00 90.00°
Space group I4mm (No. 107)
Unique sites:
Sc 0.000 0.000 0.000 [2 per cell]
Be 0.000 0.000 0.636 [2 per cell]
Pb 0.000 0.000 0.287 [2 per cell]

calculated volume	20.4	A^3/atom
ρ	7.1	g/cm3
total magnetic moment	0.20	μB per formula unit

=====

The structure with the least stability is b.

=====

a.
The following is a PBE calculation of crystalline ScBePb at its relaxed geometry, from Alexandria via LeMat-Bulk.

Cell: 4.143 5.227 11.262 Å, 90.00 90.00 90.00°
Space group Fmm2 (No. 42)
Unique sites:
Sc 0.000 0.000 0.000 [4 per cell]
Be 0.000 0.000 0.356 [4 per cell]
Pb 0.000 0.000 0.709 [4 per cell]

calculated volume	20.3	A^3/atom
ρ	7.1	g/cm3
total magnetic moment	0.00	μB per formula unit

=====

b.
The following is a PBE calculation of crystalline ScBePb at its relaxed geometry, from Alexandria via LeMat-Bulk.

Cell: 6.192 6.192 6.192 Å, 90.00 90.00 90.00°
Space group F-43m (No. 216)
Unique sites:
Sc 0.000 0.000 0.000 [4 per cell]
Be 0.250 0.250 0.750 [4 per cell]
Pb 0.000 0.000 0.500 [4 per cell]

calculated volume	19.8	A^3/atom
ρ	7.3	g/cm3
total magnetic moment	0.00	μB per formula unit

=====

The structure with the least stability is a.

=====

a.
The following is a PBE calculation of crystalline ScBe3Pb at its relaxed geometry, from Alexandria via LeMat-Bulk.

Cell: 4.631 4.631 4.631 Å, 90.00 90.00 90.00°
Space group Pm-3m (No. 221)
Unique sites:
Sc 0.000 0.000 0.000 [1 per cell]
Be 0.000 0.500 0.500 [3 per cell]
Pb 0.500 0.500 0.500 [1 per cell]

calculated volume	19.9	A^3/atom
ρ	4.7	g/cm3
total magnetic moment	0.00	μB per formula unit

=====

b.
The following is a PBE calculation of crystalline ScBe3Pb at its relaxed geometry, from Alexandria via LeMat-Bulk.

Cell: 4.856 4.856 4.856 Å, 90.00 90.00 90.00°
Space group Pm-3m (No. 221)
Unique sites:
Sc 0.000 0.000 0.000 [1 per cell]
Be 0.000 0.000 0.500 [3 per cell]
Pb 0.500 0.500 0.500 [1 per cell]

calculated volume	22.9	A^3/atom
ρ	4.0	g/cm3
total magnetic moment	0.00	μB per formula unit

=====

The structure with the least stability is b.

=====

a.
The following is a PBE calculation of crystalline Be2PbSe at its relaxed geometry, from Alexandria via LeMat-Bulk.

Cell: 3.4842 3.4842 20.0705 Å, 90.00 90.00 120.00°
Space group R-3m (No. 166, hexagonal axes)
Unique sites:
Be 0.0000 0.0000 0.2334 [6 per cell]
Pb 0.0000 0.0000 0.0000 [3 per cell]
Se 0.0000 0.0000 0.5000 [3 per cell]

calculated volume	17.6	A^3/atom
ρ	7.2	g/cm3
total magnetic moment	0.00	μB per formula unit

=====

b.
The following is a PBE calculation of crystalline Be2PbSe at its relaxed geometry, from Alexandria via LeMat-Bulk.

Cell: 6.577 6.577 6.577 Å, 90.00 90.00 90.00°
Space group Fm-3m (No. 225)
Unique sites:
Be 0.250 0.250 0.250 [8 per cell]
Pb 0.000 0.000 0.000 [4 per cell]
Se 0.000 0.000 0.500 [4 per cell]

calculated volume	17.8	A^3/atom
ρ	7.1	g/cm3
total magnetic moment	0.00	μB per formula unit

=====

c.
The following is a PBE calculation of crystalline Be2PbSe at its relaxed geometry, from Alexandria via LeMat-Bulk.

Cell: 15.624 3.445 3.447 Å, 90.00 90.46 90.00°
Space group Cm (No. 8)
Unique sites:
Be 0.000 0.000 0.000 [2 per cell]
Be 0.000 0.500 0.500 [2 per cell]
Pb 0.142 0.000 0.505 [2 per cell]
Se 0.410 0.000 0.997 [2 per cell]

calculated volume	23.2	A^3/atom
ρ	5.4	g/cm3
total magnetic moment	0.00	μB per formula unit

=====

The structure with the least stability is b.

=====

a.
The following is a PBE calculation of crystalline BePbSe3 at its relaxed geometry, from Alexandria via LeMat-Bulk.

Cell: 4.759 4.759 4.759 Å, 90.00 90.00 90.00°
Space group Pm-3m (No. 221)
Unique sites:
Be 0.000 0.000 0.000 [1 per cell]
Pb 0.500 0.500 0.500 [1 per cell]
Se 0.000 0.000 0.500 [3 per cell]

calculated volume	21.6	A^3/atom
ρ	7.0	g/cm3
total magnetic moment	0.00	μB per formula unit

=====

b.
The following is a PBE calculation of crystalline BePbSe3 at its relaxed geometry, from Alexandria via LeMat-Bulk.

Cell: 5.445 5.445 5.445 Å, 90.00 90.00 90.00°
Space group Pm-3m (No. 221)
Unique sites:
Be 0.000 0.000 0.000 [1 per cell]
Pb 0.500 0.500 0.500 [1 per cell]
Se 0.000 0.500 0.500 [3 per cell]

calculated volume	32.3	A^3/atom
ρ	4.7	g/cm3
total magnetic moment	0.00	μB per formula unit

=====

The structure with the least stability is b.

=====

a.
The following is a PBE calculation of crystalline BeSiPb2 at its relaxed geometry, from Alexandria via LeMat-Bulk.

Cell: 4.099 5.462 8.188 Å, 90.00 90.00 90.00°
Space group Cmm2 (No. 35)
Unique sites:
Be 0.000 0.000 0.000 [2 per cell]
Si 0.000 0.500 0.902 [2 per cell]
Pb 0.000 0.000 0.626 [2 per cell]
Pb 0.000 0.500 0.258 [2 per cell]

calculated volume	22.9	A^3/atom
ρ	8.2	g/cm3
total magnetic moment	0.00	μB per formula unit

=====

b.
The following is a PBE calculation of crystalline BeSiPb2 at its relaxed geometry, from Alexandria via LeMat-Bulk.

Cell: 4.146 4.146 10.731 Å, 90.00 90.00 90.00°
Space group I-4m2 (No. 119)
Unique sites:
Be 0.000 0.000 0.000 [2 per cell]
Si 0.000 0.500 0.250 [2 per cell]
Pb 0.000 0.000 0.500 [2 per cell]
Pb 0.000 0.500 0.750 [2 per cell]

calculated volume	23.1	A^3/atom
ρ	8.1	g/cm3
total magnetic moment	0.00	μB per formula unit

=====

The structure with the least stability is b.

=====

a.
The following is a PBE calculation of crystalline BeSiPb2 at its relaxed geometry, from Alexandria via LeMat-Bulk.

Cell: 3.361 3.361 7.941 Å, 90.00 90.00 90.00°
Space group P4/mmm (No. 123)
Unique sites:
Be 0.000 0.000 0.000 [1 per cell]
Si 0.000 0.000 0.500 [1 per cell]
Pb 0.500 0.500 0.229 [2 per cell]

calculated volume	22.4	A^3/atom
ρ	8.4	g/cm3
total magnetic moment	0.00	μB per formula unit

=====

b.
The following is a PBE calculation of crystalline BeSiPb2 at its relaxed geometry, from Alexandria via LeMat-Bulk.

Cell: 3.805 3.944 13.027 Å, 90.00 90.00 90.00°
Space group Imm2 (No. 44)
Unique sites:
Be 0.000 0.000 0.000 [2 per cell]
Si 0.000 0.500 0.417 [2 per cell]
Pb 0.000 0.000 0.592 [2 per cell]
Pb 0.000 0.500 0.812 [2 per cell]

calculated volume	24.4	A^3/atom
ρ	7.7	g/cm3
total magnetic moment	0.00	μB per formula unit

=====

c.
The following is a PBE calculation of crystalline BeSiPb2 at its relaxed geometry, from Alexandria via LeMat-Bulk.

Cell: 3.340 3.340 7.991 Å, 90.00 90.00 90.00°
Space group P4mm (No. 99)
Unique sites:
Be 0.000 0.000 0.000 [1 per cell]
Si 0.500 0.500 0.919 [1 per cell]
Pb 0.000 0.000 0.643 [1 per cell]
Pb 0.500 0.500 0.282 [1 per cell]

calculated volume	22.3	A^3/atom
ρ	8.4	g/cm3
total magnetic moment	0.00	μB per formula unit

=====

The structure with the least stability is a.

=====

a.
The following is a PBE calculation of crystalline BeSiPb2 at its relaxed geometry, from Alexandria via LeMat-Bulk.

Cell: 4.179 5.438 8.054 Å, 90.00 90.00 90.00°
Space group Immm (No. 71)
Unique sites:
Be 0.000 0.000 0.000 [2 per cell]
Si 0.000 0.000 0.500 [2 per cell]
Pb 0.000 0.500 0.277 [4 per cell]

calculated volume	22.9	A^3/atom
ρ	8.2	g/cm3
total magnetic moment	0.00	μB per formula unit

=====

b.
The following is a PBE calculation of crystalline BeSiPb2 at its relaxed geometry, from Alexandria via LeMat-Bulk.

Cell: 6.981 3.903 6.968 Å, 90.00 107.42 90.00°
Space group C2/m (No. 12)
Unique sites:
Be 0.000 0.000 0.000 [2 per cell]
Si 0.000 0.500 0.500 [2 per cell]
Pb 0.243 0.500 0.226 [4 per cell]

calculated volume	22.6	A^3/atom
ρ	8.3	g/cm3
total magnetic moment	0.00	μB per formula unit

=====

c.
The following is a PBE calculation of crystalline BeSiPb2 at its relaxed geometry, from Alexandria via LeMat-Bulk.

Cell: 7.133 7.133 7.133 Å, 90.00 90.00 90.00°
Space group Fm-3m (No. 225)
Unique sites:
Be 0.000 0.000 0.000 [4 per cell]
Si 0.000 0.000 0.500 [4 per cell]
Pb 0.250 0.250 0.250 [8 per cell]

calculated volume	22.7	A^3/atom
ρ	8.3	g/cm3
total magnetic moment	0.00	μB per formula unit

=====

The structure with the least stability is c.

=====

a.
The following is a PBE calculation of crystalline BeSiPb2 at its relaxed geometry, from Alexandria via LeMat-Bulk.

Cell: 7.195 7.195 7.195 Å, 90.00 90.00 90.00°
Space group F-43m (No. 216)
Unique sites:
Be 0.000 0.000 0.000 [4 per cell]
Si 0.250 0.250 0.750 [4 per cell]
Pb 0.000 0.000 0.500 [4 per cell]
Pb 0.250 0.250 0.250 [4 per cell]

calculated volume	23.3	A^3/atom
ρ	8.0	g/cm3
total magnetic moment	0.00	μB per formula unit

=====

b.
The following is a PBE calculation of crystalline BeSiPb2 at its relaxed geometry, from Alexandria via LeMat-Bulk.

Cell: 6.682 3.856 7.564 Å, 90.00 107.28 90.00°
Space group Cm (No. 8)
Unique sites:
Be 0.000 0.000 0.000 [2 per cell]
Si 0.169 0.500 0.008 [2 per cell]
Pb 0.240 0.000 0.702 [2 per cell]
Pb 0.432 0.000 0.309 [2 per cell]

calculated volume	23.3	A^3/atom
ρ	8.1	g/cm3
total magnetic moment	0.00	μB per formula unit

=====

The structure with the least stability is a.